Sn2BiMo after structural relaxation, computed with PBE-GGA.

Lattice parameters (Å, degrees): 7.1956 7.1956 7.1956 90.00 90.00 90.00
With the nearest neighbours (Å) after each atom.
Space group F-43m (No. 216)
Inequivalent atoms, fractional coordinates:
Sn: 0.0000 0.0000 0.0000 (multiplicity 4)  4 Mo 3.12, 4 Sn 3.12
Sn: 0.2500 0.2500 0.2500 (multiplicity 4)  4 Sn 3.12, 4 Bi 3.12
Bi: 0.0000 0.0000 0.5000 (multiplicity 4)  4 Mo 3.12, 4 Sn 3.12
Mo: 0.2500 0.2500 0.7500 (multiplicity 4)  4 Sn 3.12, 4 Bi 3.12

Properties
Spin magnetization in Bohr magnetons per cell: 6.6
Uncorrected energy in eV/atom: -5.064